No. 1
## NaSrSn2Pt2 (GGA-PBE)

Data for a geometry-optimized NaSrSn2Pt2 structure.

Lattice parameters (Å, degrees): 4.7385 4.7385 7.2467 90.00 90.00 120.00
Closest atoms and distances in Å follow each position.
Fractional coordinates of all 6 atoms:
Sn  0.3333  0.6667  0.3098  4 Pt 2.74-2.83, 3 Na 3.06
Sn  0.6667  0.3333  0.6902  4 Pt 2.74-2.83, 3 Na 3.06
Pt  0.6667  0.3333  0.2992  4 Sn 2.74-2.83
Pt  0.3333  0.6667  0.7008  4 Sn 2.74-2.83
Na  0.0000  0.0000  0.5000  6 Sn 3.06, 6 Pt 3.10
Sr  0.0000  0.0000  0.0000  6 Pt 3.49, 6 Sn 3.54, 2 Na 3.62

Calculated values
**Calculated volume**: 140.91 Å³ per cell
**Density of states at the Fermi level**: 3.31 states/eV/f.u.


No. 2
## NaTa2SnPt (GGA-PBE)

Data for a geometry-optimized NaTa2SnPt structure.

Lattice parameters (Å, degrees): 4.7872 4.6957 4.7872 90.00 90.00 90.00
Closest atoms and distances in Å follow each position.
Fractional coordinates of all 5 atoms:
Sn  0.5000  0.5000  0.5000  8 Ta 3.35, 4 Pt 3.39
Ta  0.5000  0.0000  0.0000  2 Na 2.39
Ta  0.0000  0.0000  0.5000  2 Na 2.39
Pt  0.0000  0.5000  0.0000  2 Na 2.35
Na  0.0000  0.0000  0.0000  2 Pt 2.35, 4 Ta 2.39

Calculated values
**Calculated volume**: 107.61 Å³ per cell
**Density of states at the Fermi level**: 3.55 states/eV/f.u.


| no. | DFT formation energy (kcal/mol of atoms) |
| --- | --- |
| 1 | -15.11 |
| 2 | 40.23 |